# 1
## RbGaAg (PBE-GGA)

Data for a geometry-optimized RbGaAg structure.

energy of formation	0.06	eV/atom
crystal system	hexagonal
V	33.47	A^3/atom
ΔE to the lowest computed polymorph	0.0672	eV per atom

Structure (extended XYZ):
```
3
Lattice="5.586 0.000 0.000 0.000 4.556 0.000 0.000 -2.278 3.945" Properties=species:S:1:pos:R:3 pbc="T T T"
Rb 3.724 0.000 2.630
Ag 0.931 0.000 0.000
Ga 0.931 2.278 1.315
```



# 2
## ScGeS3 (PBE-GGA)

Data for a geometry-optimized ScGeS3 structure.

raw formation energy	-0.38	eV/atom
crystal system	cubic
V	23.40	A^3/atom
ΔE to the lowest computed polymorph	0.5010	eV per atom

Structure (extended XYZ):
```
5
Lattice="-3.700 -0.379 3.176 3.175 -1.022 3.577 0.387 4.768 1.019" Properties=species:S:1:pos:R:3 pbc="T T T"
S -1.850 -0.190 1.588
S 1.588 -0.511 1.788
Sc 0.000 0.000 0.000
S 0.193 2.384 0.510
Ge -0.069 1.683 3.886
```



# 3
## Ce2RhPb (PBE-GGA)

Data for a geometry-optimized Ce2RhPb structure.

energy of formation	-0.54	eV/atom
crystal system	tetragonal
V	25.02	A^3/atom
ΔE to the lowest computed polymorph	0.0000	eV per atom

Structure (extended XYZ):
```
4
Lattice="-2.942 0.552 -1.689 1.542 -0.830 -2.958 -2.177 -8.108 1.141" Properties=species:S:1:pos:R:3 pbc="T T T"
Ce -1.725 -6.426 0.904
Ce -0.452 -1.682 0.237
Rh -0.700 -0.139 -2.323
Pb -1.789 -4.193 -1.753
```



# 4
## Ba2ZnPd2 (PBE-GGA)

Data for a geometry-optimized Ba2ZnPd2 structure.

energy of formation	-0.37	eV/atom
crystal system	tetragonal
V	30.54	A^3/atom

Structure (extended XYZ):
```
5
Lattice="6.224 0.000 0.000 0.000 6.224 0.000 3.112 3.112 3.942" Properties=species:S:1:pos:R:3 pbc="T T T"
Zn 0.000 0.000 0.000
Ba 6.224 3.112 1.971
Pd 3.112 3.112 1.378
Ba 3.112 6.224 1.971
Pd 6.224 6.224 2.565
```



# 5
## BePWS2 (PBE-GGA)

Data for a geometry-optimized BePWS2 structure.

raw formation energy	0.94	eV/atom
crystal system	tetragonal
V	14.63	A^3/atom
ΔE to the lowest computed polymorph	0.2377	eV per atom

Structure (extended XYZ):
```
5
Lattice="4.232 0.000 0.000 0.000 4.232 0.000 0.000 0.000 4.084" Properties=species:S:1:pos:R:3 pbc="T T T"
Be 0.000 0.000 0.000
P 0.000 0.000 2.042
S 0.000 2.116 0.000
W 2.116 2.116 2.042
S 2.116 0.000 0.000
```



# 6
## Sm3Th (PBE-GGA)

Data for a geometry-optimized Sm3Th structure.

energy of formation	0.19	eV/atom
crystal system	cubic
V	33.47	A^3/atom
ΔE to the lowest computed polymorph	0.1585	eV per atom

Structure (extended XYZ):
```
4
Lattice="5.742 0.000 0.000 2.871 4.973 0.000 2.871 1.658 4.689" Properties=species:S:1:pos:R:3 pbc="T T T"
Sm 8.614 4.973 3.516
Sm 2.871 1.658 1.172
Sm 0.000 0.000 0.000
Th 5.742 3.315 2.344
```



# 7
## Zn6Ga2Pd (PBE-GGA)

Data for a geometry-optimized Zn6Ga2Pd structure.

energy of formation	0.09	eV/atom
crystal system	tetragonal
V	20.35	A^3/atom

Structure (extended XYZ):
```
18
Lattice="-2.514 5.237 -3.154 2.797 -2.047 -5.628 -6.893 -4.408 -1.823" Properties=species:S:1:pos:R:3 pbc="T T T"
Ga -2.046 0.196 -4.970
Zn -0.806 -1.838 -5.669
Zn -2.992 -3.236 -6.247
Zn -3.240 0.122 -7.316
Zn -3.370 -1.340 -3.290
Zn -3.618 2.019 -4.358
Ga -5.634 -3.603 -1.490
Zn -1.297 3.567 -3.721
Zn -5.592 -1.363 -7.991
Pd 0.141 1.595 -4.391
Ga -1.259 -0.805 -0.333
Zn 1.580 -0.377 -5.061
Ga -4.564 -1.414 -5.636
Zn -0.885 1.646 -6.746
Pd -3.447 -2.204 -0.912
Zn -1.018 0.146 -2.614
Zn -5.805 0.621 -4.937
Zn -5.725 -2.864 -3.859
```



For each record above, in turn, the calculated DOS at the Fermi energy values are 2.433 2.244 10.129 3.397 6.309 9.707 1.374 states/eV per cell.